First-principles (PBE-GGA) data for an optimized crystal structure of Sm8BiAu2, as listed in Alexandria via LeMat-Bulk.

Properties
Its space group is C2/m, No. 12. Its total magnetization is 0.00 Bohr magnetons per cell. The calculation puts the formation energy at -0.41 eV/atom. The calculation puts the density of states at the Fermi level at 10.30 states/eV/cell.

Lattice parameters (Å, degrees): 5.2269 7.1534 9.9881 108.98 105.17 90.00
Sites, in units of the cell vectors:
Au1 0.1730 0.7309 0.3459
Au2 0.8270 0.2691 0.6541
Sm1 0.0269 0.7666 0.0537
Sm2 0.5960 0.4770 0.1921
Sm3 0.7998 0.6517 0.5997
Sm4 0.2002 0.3483 0.4003
Sm5 0.3234 0.0026 0.6468
Sm6 0.9731 0.2334 0.9463
Sm7 0.4040 0.5230 0.8079
Sm8 0.6766 0.9974 0.3532
Bi1 0.5000 0.0000 0.0000


First-principles (PBE-GGA) data for an optimized crystal structure of Zr2Sb2Ru, as listed in Alexandria via LeMat-Bulk.

Properties
Its space group is P4/mbm, No. 127. For the total energy, the calculation gives -36.42 eV per formula unit. Its total magnetization is 0.00 Bohr magnetons per cell. The calculation puts the density of states at the Fermi level at 2.07 states/eV/cell.

Lattice parameters (Å, degrees): 6.7825 6.7825 4.5914 90.00 90.00 90.00
Sites, in units of the cell vectors:
Zr1 0.6589 0.8411 0.5000
Zr2 0.8411 0.3411 0.5000
Zr3 0.1589 0.6589 0.5000
Zr4 0.3411 0.1589 0.5000
Ru1 0.5000 0.5000 0.0000
Ru2 0.0000 0.0000 0.0000
Sb1 0.6490 0.1490 0.0000
Sb2 0.1490 0.3510 0.0000
Sb3 0.8510 0.6490 0.0000
Sb4 0.3510 0.8510 0.0000


First-principles (PBE-GGA) data for an optimized crystal structure of CaTiSi3, as listed in Alexandria via LeMat-Bulk.

Properties
Its space group is Pm-3m, No. 221. For the total energy, the calculation gives -18.26 eV per formula unit. Its total magnetization is 0.00 Bohr magnetons per cell. The calculation puts the density of states at the Fermi level at 4.46 states/eV/cell.

Lattice parameters (Å, degrees): 4.9759 4.9759 4.9759 90.00 90.00 90.00
Sites, in units of the cell vectors:
Ca1 0.0000 0.0000 0.0000
Si1 0.0000 0.5000 0.0000
Si2 0.5000 0.0000 0.0000
Si3 0.0000 0.0000 0.5000
Ti1 0.5000 0.5000 0.5000